The following is a DFT calculation (PBE) of an optimized crystal structure of K13Rb2.

Properties
Formation energy   0.05 eV per formula unit
D(E_F)   10.7 states/eV/f.u.

```
K13Rb2
1.0
8.488 -0.068 0.930
-1.204 11.962 0.340
0.415 -5.220 10.797
K Rb
13 2
direct
0.731 0.602 0.067
0.269 0.398 0.933
0.000 0.000 0.000
0.344 0.000 0.672
0.656 0.000 0.328
0.072 0.603 0.740
0.928 0.397 0.260
0.394 0.596 0.397
0.606 0.404 0.603
0.533 0.801 0.872
0.467 0.199 0.128
0.801 0.208 0.809
0.199 0.792 0.191
0.867 0.802 0.535
0.133 0.198 0.465
```